# Te3POs, optimized geometry, DFT PBE-GGA
# ΔE_f (raw) in meV per atom: 1045
# Energy above the most stable polymorph in this dataset in eV per atom: 0.0000
data_Te3POs
_symmetry_space_group_name_H-M 'P m -3 m'
_symmetry_Int_Tables_number 221
_symmetry_space_group_name_Hall '-P 4 2 3'
_cell_length_a 5.1832
_cell_length_b 5.1832
_cell_length_c 5.1832
_cell_angle_alpha 90.00
_cell_angle_beta 90.00
_cell_angle_gamma 90.00
loop_
_atom_site_label
_atom_site_fract_x
_atom_site_fract_y
_atom_site_fract_z
Te1 0.0000 0.0000 0.5000
P1 0.5000 0.5000 0.5000
Os1 0.0000 0.0000 0.0000

# Li2FeNi, optimized geometry, DFT PBE-GGA
# Formation enthalpy at 0 K in eV per formula unit: 0.70
data_Li2FeNi
_symmetry_space_group_name_H-M 'P 4/m m m'
_symmetry_Int_Tables_number 123
_symmetry_space_group_name_Hall '-P 4 2'
_cell_length_a 3.4206
_cell_length_b 3.4206
_cell_length_c 4.2419
_cell_angle_alpha 90.00
_cell_angle_beta 90.00
_cell_angle_gamma 90.00
loop_
_atom_site_label
_atom_site_fract_x
_atom_site_fract_y
_atom_site_fract_z
Li1 0.0000 0.5000 0.0000
Fe1 0.0000 0.0000 0.5000
Ni1 0.5000 0.5000 0.5000

# Tb6HoTh, optimized geometry, DFT PBE-GGA
# Formation enthalpy at 0 K in eV per formula unit: 0.25
# Energy above the most stable polymorph in this dataset in eV per atom: 0.0000
data_Tb6HoTh
_symmetry_space_group_name_H-M 'P 4/m m m'
_symmetry_Int_Tables_number 123
_symmetry_space_group_name_Hall '-P 4 2'
_cell_length_a 5.0411
_cell_length_b 5.0411
_cell_length_c 10.0269
_cell_angle_alpha 90.00
_cell_angle_beta 90.00
_cell_angle_gamma 90.00
loop_
_atom_site_label
_atom_site_fract_x
_atom_site_fract_y
_atom_site_fract_z
Tb1 0.0000 0.0000 0.0000
Tb2 0.0000 0.0000 0.5000
Tb3 0.0000 0.5000 0.2482
Ho1 0.5000 0.5000 0.5000
Th1 0.5000 0.5000 0.0000

# AcCeGeBr, optimized geometry, DFT PBE-GGA
# ΔE_f (raw) in meV per atom: -707
# Energy above the most stable polymorph in this dataset in eV per atom: 0.1654
data_AcCeGeBr
_symmetry_space_group_name_H-M 'A m m 2'
_symmetry_Int_Tables_number 38
_cell_length_a 6.2131
_cell_length_b 4.6317
_cell_length_c 10.0709
_cell_angle_alpha 90.00
_cell_angle_beta 90.00
_cell_angle_gamma 90.00
loop_
_symmetry_equiv_pos_as_xyz
'x,y,z'
'-x,-y,z'
'-x,y,z'
'x,-y,z'
'x,y+1/2,z+1/2'
'-x,-y+1/2,z+1/2'
'-x,y+1/2,z+1/2'
'x,-y+1/2,z+1/2'
loop_
_atom_site_label
_atom_site_fract_x
_atom_site_fract_y
_atom_site_fract_z
Ac1 0.0000 0.0000 0.0000
Ce1 0.5000 0.0000 0.3023
Ge1 0.5000 0.0000 0.9961
Br1 0.0000 0.0000 0.2974

# Nd4ScS5, optimized geometry, DFT PBE-GGA
# ΔE_f (raw) in meV per atom: -1947
data_Nd4ScS5
_symmetry_space_group_name_H-M 'I 4/m m m'
_symmetry_Int_Tables_number 139
_symmetry_space_group_name_Hall '-I 4 2'
_cell_length_a 4.0142
_cell_length_b 4.0142
_cell_length_c 28.2940
_cell_angle_alpha 90.00
_cell_angle_beta 90.00
_cell_angle_gamma 90.00
loop_
_atom_site_label
_atom_site_fract_x
_atom_site_fract_y
_atom_site_fract_z
Nd1 0.0000 0.0000 0.0996
Nd2 0.0000 0.0000 0.3044
Sc1 0.0000 0.0000 0.5000
S1 0.0000 0.0000 0.0000
S2 0.0000 0.0000 0.2017
S3 0.0000 0.0000 0.4071

# La4Cd2Ni, optimized geometry, DFT PBE-GGA
# Formation enthalpy at 0 K in eV per formula unit: -1.00
# Energy above the most stable polymorph in this dataset in eV per atom: 0.0150
data_La4Cd2Ni
_symmetry_space_group_name_H-M 'I 4/m m m'
_symmetry_Int_Tables_number 139
_symmetry_space_group_name_Hall '-I 4 2'
_cell_length_a 5.3253
_cell_length_b 5.3253
_cell_length_c 16.3565
_cell_angle_alpha 90.00
_cell_angle_beta 90.00
_cell_angle_gamma 90.00
loop_
_atom_site_label
_atom_site_fract_x
_atom_site_fract_y
_atom_site_fract_z
La1 0.0000 0.0000 0.1808
La2 0.0000 0.5000 0.0000
Cd1 0.0000 0.0000 0.3729
Ni1 0.0000 0.0000 0.0000

# YSc2In, optimized geometry, DFT PBE-GGA
# Formation enthalpy at 0 K in eV per formula unit: -0.86
data_YSc2In
_symmetry_space_group_name_H-M 'P 4/m m m'
_symmetry_Int_Tables_number 123
_symmetry_space_group_name_Hall '-P 4 2'
_cell_length_a 3.4318
_cell_length_b 3.4318
_cell_length_c 8.6786
_cell_angle_alpha 90.00
_cell_angle_beta 90.00
_cell_angle_gamma 90.00
loop_
_atom_site_label
_atom_site_fract_x
_atom_site_fract_y
_atom_site_fract_z
Y1 0.0000 0.0000 0.0000
Sc1 0.5000 0.5000 0.2756
In1 0.0000 0.0000 0.5000

# Y2SnH, optimized geometry, DFT PBE-GGA
# Energy above the most stable polymorph in this dataset in eV per atom: 0.1648
data_Y2SnH
_symmetry_space_group_name_H-M 'I -4 2 d'
_symmetry_Int_Tables_number 122
_symmetry_space_group_name_Hall 'I -4 2bw'
_cell_length_a 6.9923
_cell_length_b 6.9923
_cell_length_c 7.3408
_cell_angle_alpha 90.00
_cell_angle_beta 90.00
_cell_angle_gamma 90.00
loop_
_atom_site_label
_atom_site_fract_x
_atom_site_fract_y
_atom_site_fract_z
Y1 0.1597 0.2500 0.1250
Sn1 0.0000 0.0000 0.5000
H1 0.0000 0.0000 0.0000

# Zn2RuW, optimized geometry, DFT PBE-GGA
# Formation enthalpy at 0 K in eV per formula unit: 1.27
# Energy above the most stable polymorph in this dataset in eV per atom: 0.2977
data_Zn2RuW
_symmetry_space_group_name_H-M 'P 4/m m m'
_symmetry_Int_Tables_number 123
_symmetry_space_group_name_Hall '-P 4 2'
_cell_length_a 2.9077
_cell_length_b 2.9077
_cell_length_c 6.7974
_cell_angle_alpha 90.00
_cell_angle_beta 90.00
_cell_angle_gamma 90.00
loop_
_atom_site_label
_atom_site_fract_x
_atom_site_fract_y
_atom_site_fract_z
Zn1 0.0000 0.0000 0.2336
Ru1 0.5000 0.5000 0.0000
W1 0.5000 0.5000 0.5000

# LiHoTiFe, optimized geometry, DFT PBE-GGA
# Formation enthalpy at 0 K in eV per formula unit: 0.43
data_LiHoTiFe
_symmetry_space_group_name_H-M 'F -4 3 m'
_symmetry_Int_Tables_number 216
_symmetry_space_group_name_Hall 'F -4 2 3'
_cell_length_a 6.4238
_cell_length_b 6.4238
_cell_length_c 6.4238
_cell_angle_alpha 90.00
_cell_angle_beta 90.00
_cell_angle_gamma 90.00
loop_
_atom_site_label
_atom_site_fract_x
_atom_site_fract_y
_atom_site_fract_z
Li1 0.0000 0.0000 0.0000
Ho1 0.2500 0.2500 0.7500
Ti1 0.2500 0.2500 0.2500
Fe1 0.0000 0.0000 0.5000

# RbTaCd, optimized geometry, DFT PBE-GGA
# Formation enthalpy at 0 K in eV per formula unit: 5.35
# Energy above the most stable polymorph in this dataset in eV per atom: 1.3935
data_RbTaCd
_symmetry_space_group_name_H-M 'F -4 3 m'
_symmetry_Int_Tables_number 216
_symmetry_space_group_name_Hall 'F -4 2 3'
_cell_length_a 7.5877
_cell_length_b 7.5877
_cell_length_c 7.5877
_cell_angle_alpha 90.00
_cell_angle_beta 90.00
_cell_angle_gamma 90.00
loop_
_atom_site_label
_atom_site_fract_x
_atom_site_fract_y
_atom_site_fract_z
Rb1 0.0000 0.0000 0.0000
Ta1 0.0000 0.0000 0.5000
Cd1 0.2500 0.2500 0.2500

# SrCd2I6, optimized geometry, DFT PBE-GGA
# ΔE_f (raw) in meV per atom: -938
data_SrCd2I6
_symmetry_space_group_name_H-M 'C 1 2/c 1'
_symmetry_Int_Tables_number 15
_cell_length_a 15.2138
_cell_length_b 14.0087
_cell_length_c 8.0785
_cell_angle_alpha 90.00
_cell_angle_beta 101.06
_cell_angle_gamma 90.00
loop_
_symmetry_equiv_pos_as_xyz
'x,y,z'
'-x,-y,-z'
'-x,y,-z+1/2'
'x,-y,z+1/2'
'x+1/2,y+1/2,z'
'-x+1/2,-y+1/2,-z'
'-x+1/2,y+1/2,-z+1/2'
'x+1/2,-y+1/2,z+1/2'
loop_
_atom_site_label
_atom_site_fract_x
_atom_site_fract_y
_atom_site_fract_z
Sr1 0.0000 0.1117 0.2500
Cd1 0.1893 0.4225 0.3062
I1 0.1164 0.0781 0.6389
I2 0.1302 0.2617 0.1091
I3 0.1313 0.4103 0.6182

What is the formula in the third record? Tb6HoTh